A plane-wave DFT calculation with PBE was carried out for a relaxed structure of Hg2PdF7.

Cell lengths 10.636, 7.477, 4.392 Å; angles 90.00, 113.04, 90.00 degrees
Space group C2/m (No. 12)
Unique sites:
Hg (0.194, 0.000, 0.409)
Pd (0.000, 0.500, 0.000)
F (0.000, 0.000, 0.000)
F (0.098, 0.320, 0.351)
F (0.218, 0.500, 0.022)

Properties
ρ in g cm⁻³: 6.6
Electronic total energy in eV/atom: -3.18
Total magnetic moment in μB/f.u.: 1.0
Uncorrected formation energy in meV per atom: -1286

***

A plane-wave DFT calculation with PBE was carried out for a relaxed structure of PrNdInGa.

Cell lengths 3.783, 3.783, 7.702 Å; angles 90.00, 90.00, 90.00 degrees
Space group P4mm (No. 99)
Unique sites:
Pr (0.000, 0.000, 0.000)
Nd (0.000, 0.000, 0.473)
In (0.500, 0.500, 0.734)
Ga (0.500, 0.500, 0.240)

Properties
ΔH_f (0 K) in eV per atom: -0.52
ρ in g cm⁻³: 7.1
Electronic total energy in eV/atom: -4.35
Total magnetic moment in μB/f.u.: 0.0

***

A plane-wave DFT calculation with PBE was carried out for a relaxed structure of Pa6InSe12.

Cell lengths 12.9267, 12.9267, 11.2513 Å; angles 90.00, 90.00, 120.00 degrees
Space group R-3 (No. 148, hexagonal axes)
Unique sites:
Pa (0.0483, 0.7804, 0.1464)
In (0.0000, 0.0000, 0.5000)
Se (0.0353, 0.8230, 0.8871)
Se (0.0499, 0.8297, 0.3938)

Properties
ρ in g cm⁻³: 7.5
Electronic total energy in eV/atom: -6.53
Total magnetic moment in μB/f.u.: 7.1
Uncorrected formation energy in meV per atom: -1187

***

A plane-wave DFT calculation with PBE was carried out for a relaxed structure of PuAl2Sn.

Cell lengths 3.641, 3.641, 6.707 Å; angles 90.00, 90.00, 90.00 degrees
Space group P4/mmm (No. 123)
Unique sites:
Pu (0.000, 0.000, 0.000)
Al (0.500, 0.500, 0.284)
Sn (0.000, 0.000, 0.500)

Properties
ΔH_f (0 K) in eV per atom: -0.06
ρ in g cm⁻³: 7.8
Electronic total energy in eV/atom: -6.51
Total magnetic moment in μB/f.u.: 6.0